one | TmMg2Cd2 after structural relaxation. Source: Alexandria, functional PBE.

Unit cell a=4.263 b=4.263 c=7.265 alpha=106.84 beta=107.06 gamma=90.00
Fractional coordinates of all 5 atoms:
Cd  0.396  0.396  0.792
Cd  0.604  0.604  0.208
Mg  0.250  0.751  0.500
Mg  0.750  0.249  0.500
Tm  0.000  0.000  0.000

The space group is No. 12.

=====

two | TmMg2Cd2 after structural relaxation. Source: Alexandria, functional PBE.

Unit cell a=3.140 b=8.545 c=8.545 alpha=90.00 beta=90.00 gamma=90.00
Fractional coordinates of all 10 atoms:
Mg  0.000  0.875  0.625
Mg  0.000  0.375  0.875
Mg  0.000  0.625  0.125
Mg  0.000  0.125  0.375
Cd  0.500  0.674  0.826
Cd  0.500  0.826  0.326
Cd  0.500  0.174  0.674
Cd  0.500  0.326  0.174
Tm  0.000  0.500  0.500
Tm  0.000  0.000  0.000

The space group is No. 127.

=====

Which structure is most stable? one, by 0.020 eV/atom over the runner-up.

=====

one | Tm2MgCd2 after structural relaxation. Source: Alexandria, functional PBE.

Unit cell a=4.683 b=5.863 c=5.863 alpha=64.55 beta=66.46 gamma=66.46
Fractional coordinates of all 5 atoms:
Cd  0.500  0.272  0.728
Cd  0.500  0.728  0.272
Mg  0.000  0.000  0.000
Tm  0.199  0.301  0.301
Tm  0.801  0.699  0.699

The space group is No. 71.

=====

two | Tm2MgCd2 after structural relaxation. Source: Alexandria, functional PBE.

Unit cell a=3.442 b=4.828 c=7.936 alpha=72.29 beta=90.00 gamma=90.00
Fractional coordinates of all 5 atoms:
Cd  0.000  0.197  0.607
Cd  0.000  0.803  0.393
Tm  0.500  0.384  0.232
Tm  0.500  0.616  0.768
Mg  0.000  0.000  0.000

The space group is No. 65.

=====

Which structure is most stable? two, by 0.046 eV/atom over the runner-up.

=====

one | Tm3MgCd2 after structural relaxation. Source: Alexandria, functional PBE.

Unit cell a=3.704 b=5.232 c=8.331 alpha=108.30 beta=90.00 gamma=90.00
Fractional coordinates of all 6 atoms:
Tm  0.500  0.170  0.339
Tm  0.500  0.830  0.661
Tm  0.500  0.500  0.000
Cd  0.000  0.340  0.680
Cd  0.000  0.660  0.320
Mg  0.000  0.000  0.000

The space group is No. 65.

=====

two | Tm3MgCd2 after structural relaxation. Source: Alexandria, functional PBE.

Unit cell a=3.731 b=3.731 c=11.037 alpha=90.00 beta=90.00 gamma=90.00
Fractional coordinates of all 6 atoms:
Cd  0.500  0.500  0.831
Cd  0.500  0.500  0.169
Tm  0.000  0.000  0.669
Tm  0.000  0.000  0.331
Tm  0.000  0.000  0.000
Mg  0.500  0.500  0.500

The space group is No. 123.

=====

Which structure is most stable? one, by 0.006 eV/atom over the runner-up.

=====

one | TmMg6Cd2 after structural relaxation. Source: Alexandria, functional PBE.

Unit cell a=4.250 b=7.400 c=7.311 alpha=107.54 beta=106.90 gamma=90.00
Fractional coordinates of all 9 atoms:
Cd  0.060  0.831  0.121
Cd  0.940  0.169  0.879
Mg  0.174  0.500  0.348
Mg  0.277  0.162  0.554
Mg  0.605  0.154  0.211
Mg  0.723  0.838  0.446
Mg  0.826  0.500  0.652
Mg  0.395  0.846  0.789
Tm  0.500  0.500  0.000

The space group is No. 12.

=====

two | TmMg6Cd2 after structural relaxation. Source: Alexandria, functional PBE.

Unit cell a=4.371 b=4.371 c=11.110 alpha=90.00 beta=90.00 gamma=90.00
Fractional coordinates of all 9 atoms:
Cd  0.500  0.500  0.122
Cd  0.500  0.500  0.878
Mg  0.000  0.500  0.712
Mg  0.000  0.500  0.288
Mg  0.500  0.000  0.712
Mg  0.500  0.500  0.500
Mg  0.000  0.000  0.500
Mg  0.500  0.000  0.288
Tm  0.000  0.000  0.000

The space group is No. 123.

=====

Which structure is most stable? one, by 0.020 eV/atom over the runner-up.

=====

one | Mg3VCd after structural relaxation. Source: Alexandria, functional PBE.

Unit cell a=5.272 b=5.272 c=5.272 alpha=90.00 beta=90.00 gamma=90.00
Fractional coordinates of all 5 atoms:
Cd  0.500  0.500  0.500
V  0.000  0.000  0.000
Mg  0.000  0.000  0.500
Mg  0.000  0.500  0.000
Mg  0.500  0.000  0.000

The space group is No. 221.

=====

two | Mg3VCd after structural relaxation. Source: Alexandria, functional PBE.

Unit cell a=5.145 b=5.145 c=5.145 alpha=90.00 beta=90.00 gamma=90.00
Fractional coordinates of all 5 atoms:
V  0.500  0.500  0.500
Mg  0.000  0.500  0.000
Mg  0.500  0.000  0.000
Mg  0.000  0.000  0.500
Cd  0.000  0.000  0.000

The space group is No. 221.

=====

Which structure is most stable? two, by 0.023 eV/atom over the runner-up.

=====

one | MgCdW after structural relaxation. Source: Alexandria, functional PBE.

Unit cell a=7.492 b=7.355 c=2.824 alpha=81.78 beta=76.32 gamma=21.91
Fractional coordinates of all 3 atoms:
Mg  0.674  0.674  0.326
W  0.330  0.330  0.670
Cd  0.997  0.997  0.003

The space group is No. 42.

=====

two | MgCdW after structural relaxation. Source: Alexandria, functional PBE.

Unit cell a=7.254 b=7.254 c=7.254 alpha=157.60 beta=157.60 gamma=31.88
Fractional coordinates of all 3 atoms:
W  0.670  0.670  0.000
Mg  0.326  0.326  0.000
Cd  0.004  0.004  0.000

The space group is No. 107.

=====

three | MgCdW after structural relaxation. Source: Alexandria, functional PBE.

Unit cell a=4.547 b=4.547 c=4.547 alpha=60.00 beta=60.00 gamma=60.00
Fractional coordinates of all 3 atoms:
W  0.500  0.500  0.500
Mg  0.000  0.000  0.000
Cd  0.750  0.750  0.750

The space group is No. 216.

=====

Which structure is most stable? one, by 0.011 eV/atom over the runner-up.

=====

one | MgCdW after structural relaxation. Source: Alexandria, functional PBE.

Unit cell a=4.632 b=4.632 c=4.632 alpha=60.00 beta=60.00 gamma=60.00
Fractional coordinates of all 3 atoms:
Cd  0.000  0.000  0.000
W  0.750  0.750  0.750
Mg  0.500  0.500  0.500

The space group is No. 216.

=====

two | MgCdW after structural relaxation. Source: Alexandria, functional PBE.

Unit cell a=2.935 b=2.935 c=7.462 alpha=90.00 beta=90.00 gamma=120.00
Fractional coordinates of all 3 atoms:
W  0.333  0.667  0.660
Mg  0.667  0.333  0.346
Cd  0.000  0.000  0.994

The space group is No. 156.

=====

Which structure is most stable? two, by 0.984 eV/atom over the runner-up.

=====

one | Mg14CdW after structural relaxation. Source: Alexandria, functional PBE.

Unit cell a=6.255 b=6.255 c=10.105 alpha=90.00 beta=90.00 gamma=120.00
Fractional coordinates of all 16 atoms:
Mg  0.679  0.840  0.760
Mg  0.160  0.840  0.240
Mg  0.667  0.333  0.749
Mg  0.679  0.840  0.240
Mg  0.500  0.001  0.000
Mg  0.160  0.321  0.760
Mg  0.160  0.840  0.760
Mg  0.499  0.501  0.500
Mg  0.999  0.500  0.000
Mg  0.001  0.501  0.500
Mg  0.160  0.321  0.240
Mg  0.500  0.500  0.000
Mg  0.667  0.333  0.251
Mg  0.499  0.999  0.500
Cd  0.000  0.000  0.500
W  0.000  0.000  0.000

The space group is No. 187.

=====

two | Mg14CdW after structural relaxation. Source: Alexandria, functional PBE.

Unit cell a=6.255 b=6.255 c=10.119 alpha=90.00 beta=90.00 gamma=119.72
Fractional coordinates of all 16 atoms:
Mg  0.166  0.834  0.248
Mg  0.335  0.169  0.000
Mg  0.672  0.328  0.260
Mg  0.335  0.165  0.500
Mg  0.166  0.834  0.752
Mg  0.831  0.665  0.000
Mg  0.835  0.665  0.500
Mg  0.156  0.329  0.736
Mg  0.834  0.166  0.000
Mg  0.671  0.844  0.736
Mg  0.671  0.844  0.264
Mg  0.335  0.665  0.000
Mg  0.672  0.328  0.740
Mg  0.156  0.329  0.264
Cd  0.331  0.669  0.500
W  0.833  0.167  0.500

The space group is No. 38.

=====

Which structure is most stable? one, by 0.009 eV/atom over the runner-up.

=====

one | YMg4Cd after structural relaxation. Source: Alexandria, functional PBE.

Unit cell a=5.936 b=5.936 c=5.936 alpha=60.00 beta=60.00 gamma=60.00
Fractional coordinates of all 6 atoms:
Mg  0.375  0.375  0.874
Mg  0.375  0.375  0.375
Mg  0.375  0.874  0.375
Mg  0.874  0.375  0.375
Cd  0.000  0.000  0.000
Y  0.750  0.750  0.750

The space group is No. 216.

=====

two | YMg4Cd after structural relaxation. Source: Alexandria, functional PBE.

Unit cell a=3.498 b=3.498 c=11.714 alpha=90.00 beta=90.00 gamma=90.00
Fractional coordinates of all 6 atoms:
Mg  0.500  0.500  0.812
Mg  0.000  0.000  0.349
Mg  0.000  0.000  0.651
Mg  0.500  0.500  0.188
Y  0.000  0.000  0.000
Cd  0.500  0.500  0.500

The space group is No. 123.

=====

Which structure is most stable? two, by 0.080 eV/atom over the runner-up.

=====

one | Y2MgCd3 after structural relaxation. Source: Alexandria, functional PBE.

Unit cell a=6.075 b=6.075 c=9.311 alpha=102.26 beta=102.26 gamma=110.44
Fractional coordinates of all 12 atoms:
Cd  0.664  0.168  0.832
Cd  0.832  0.336  0.168
Cd  0.167  0.167  0.335
Cd  0.833  0.833  0.665
Cd  0.336  0.832  0.168
Cd  0.168  0.664  0.832
Y  0.752  0.752  0.000
Y  0.250  0.750  0.500
Y  0.750  0.250  0.500
Y  0.248  0.248  0.000
Mg  0.333  0.333  0.666
Mg  0.667  0.667  0.334

The space group is No. 69.

=====

two | Y2MgCd3 after structural relaxation. Source: Alexandria, functional PBE.

Unit cell a=5.157 b=5.157 c=12.791 alpha=90.00 beta=90.00 gamma=120.00
Fractional coordinates of all 12 atoms:
Cd  0.000  0.000  0.254
Cd  0.000  0.000  0.746
Cd  0.333  0.667  0.420
Cd  0.333  0.667  0.915
Cd  0.667  0.333  0.085
Cd  0.667  0.333  0.580
Mg  0.333  0.667  0.663
Mg  0.667  0.333  0.337
Y  0.333  0.667  0.175
Y  0.667  0.333  0.825
Y  0.000  0.000  0.000
Y  0.000  0.000  0.500

The space group is No. 164.

=====

Which structure is most stable? two, by 0.033 eV/atom over the runner-up.

=====

one | YMg3Cd3 after structural relaxation. Source: Alexandria, functional PBE.

Unit cell a=8.716 b=8.716 c=8.716 alpha=90.00 beta=90.00 gamma=90.00
Fractional coordinates of all 28 atoms:
Mg  0.831  0.331  0.169
Mg  0.870  0.870  0.870
Mg  0.690  0.310  0.810
Mg  0.310  0.810  0.690
Mg  0.669  0.669  0.669
Mg  0.130  0.370  0.630
Mg  0.370  0.630  0.130
Mg  0.169  0.831  0.331
Mg  0.630  0.130  0.370
Mg  0.190  0.190  0.190
Mg  0.810  0.690  0.310
Mg  0.331  0.169  0.831
Cd  0.396  0.508  0.813
Cd  0.008  0.687  0.604
Cd  0.604  0.008  0.687
Cd  0.687  0.604  0.008
Cd  0.492  0.313  0.104
Cd  0.187  0.896  0.992
Cd  0.313  0.104  0.492
Cd  0.992  0.187  0.896
Cd  0.508  0.813  0.396
Cd  0.813  0.396  0.508
Cd  0.896  0.992  0.187
Cd  0.104  0.492  0.313
Y  0.953  0.047  0.547
Y  0.047  0.547  0.953
Y  0.547  0.953  0.047
Y  0.453  0.453  0.453

The space group is No. 198.

=====

two | YMg3Cd3 after structural relaxation. Source: Alexandria, functional PBE.

Unit cell a=7.522 b=7.522 c=7.522 alpha=90.00 beta=90.00 gamma=90.00
Fractional coordinates of all 14 atoms:
Mg  0.500  0.250  0.000
Mg  0.250  0.000  0.500
Mg  0.750  0.000  0.500
Mg  0.000  0.500  0.250
Mg  0.000  0.500  0.750
Mg  0.500  0.750  0.000
Y  0.500  0.500  0.500
Y  0.000  0.000  0.000
Cd  0.750  0.500  0.000
Cd  0.500  0.000  0.250
Cd  0.000  0.250  0.500
Cd  0.250  0.500  0.000
Cd  0.000  0.750  0.500
Cd  0.500  0.000  0.750

The space group is No. 223.

=====

Which structure is most stable? one, by 0.581 eV/atom over the runner-up.